VASP calculation (PBE) on a relaxed structure of SmEuDyGa.

Lattice parameters (Å, degrees): 5.4064 5.4064 5.4064 60.00 60.00 60.00
Last column: nearest neighbours and their distance in Å.
Sites, in units of the cell vectors:
Eu  0.0000  0.0000  0.0000  4 Dy 3.31, 4 Sm 3.31
Ga  0.5000  0.5000  0.5000  4 Sm 3.31, 4 Dy 3.31
Sm  0.2500  0.2500  0.2500  4 Eu 3.31, 4 Ga 3.31
Dy  0.7500  0.7500  0.7500  4 Eu 3.31, 4 Ga 3.31

Symmetry ... F-43m, No. 216
ΔH_f (0 K) ... -72 meV per atom
Uncorrected energy ... -5.728 eV/atom